Entry from Alexandria: a geometry-optimized K2PaSb2O6 structure (PBE).

Summary:
Uncorrected formation energy = -2.014 eV/atom
Crystal system = monoclinic

Cell lengths 6.0832, 6.0832, 6.5037 Å; angles 104.76, 104.76, 73.00 degrees
Closest atoms and distances in Å follow each position.
Fractional positions:
K 0.1820 0.1820 0.0812  5 O 2.70-3.01
K 0.8180 0.8180 0.9188  5 O 2.70-3.01
Pa 0.0000 0.0000 0.5000  6 O 2.14-2.31
Sb 0.4503 0.4503 0.7390  3 O 1.95-2.15
Sb 0.5497 0.5497 0.2610  3 O 1.95-2.15
O 0.1721 0.7626 0.7162  1 Pa 2.14, 1 Sb 2.15
O 0.2374 0.8279 0.2838  1 Pa 2.14, 1 Sb 2.15
O 0.2434 0.2434 0.6930  1 Sb 1.95
O 0.7566 0.7566 0.3070  1 Sb 1.95
O 0.7626 0.1721 0.7162  1 Pa 2.14, 1 Sb 2.15
O 0.8279 0.2374 0.2838  1 Pa 2.14, 1 Sb 2.15